# 1
A plane-wave DFT calculation with PBE+U was carried out for crystalline HgGe2MoO at its relaxed geometry.

Lattice parameters (Å, degrees): 4.297 5.495 4.297 90.00 90.00 90.00
Site moments in Bohr magnetons follow the coordinates.
Element x y z (fractional)
Hg (0.000, 0.500, 0.000)  -0.01
Ge (0.000, 0.000, 0.500)  -0.02
Ge (0.500, 0.000, 0.000)  -0.07
O (0.000, 0.000, 0.000)  -0.02
Mo (0.500, 0.500, 0.500)  3.78

DOS(E_F) (states/eV/cell): 2.3
Crystal system: tetragonal
Total energy (eV per atom): -3.935

# 2
A plane-wave DFT calculation with PBE+U was carried out for crystalline HgGeMoO6 at its relaxed geometry.

Lattice parameters (Å, degrees): 5.173 5.173 4.991 90.00 90.00 60.00
Element x y z (fractional)
O (0.624, 0.380, 0.712)
O (0.996, 0.380, 0.288)
O (0.380, 0.624, 0.288)
O (0.380, 0.996, 0.712)
O (0.996, 0.624, 0.712)
O (0.624, 0.996, 0.288)
Ge (0.667, 0.667, 0.500)
Mo (0.333, 0.333, 0.500)
Hg (0.000, 0.000, 0.000)

DOS(E_F) (states/eV/cell): 0.0
Crystal system: trigonal
Total energy (eV per atom): -5.864